# 1
Material: AcHo2Mg
Method: DFT, PBE
State: relaxed

a b c (Å): 3.5390 3.5390 37.0065
angles (deg): 90.00 90.00 120.00
Last column: nearest neighbours and their distance in Å.
Fractional positions:
Ac  0.0000  0.0000  0.0000  6 Ac 3.54, 2 Ho 3.56
Ac  0.3333  0.6667  0.6667  6 Ac 3.54, 2 Ho 3.56
Ac  0.6667  0.3333  0.3333  6 Ac 3.54, 2 Ho 3.56
Ho  0.0000  0.0000  0.0961  3 Mg 3.32, 6 Ho 3.54, 1 Ac 3.56
Ho  0.0000  0.0000  0.9039  3 Mg 3.32, 6 Ho 3.54, 1 Ac 3.56
Ho  0.3333  0.6667  0.5706  3 Mg 3.32, 6 Ho 3.54, 1 Ac 3.56
Ho  0.3333  0.6667  0.7628  3 Mg 3.32, 6 Ho 3.54, 1 Ac 3.56
Ho  0.6667  0.3333  0.2372  3 Mg 3.32, 6 Ho 3.54, 1 Ac 3.56
Ho  0.6667  0.3333  0.4294  3 Mg 3.32, 6 Ho 3.54, 1 Ac 3.56
Mg  0.0000  0.0000  0.5000  6 Ho 3.32, 6 Mg 3.54
Mg  0.3333  0.6667  0.1667  6 Ho 3.32, 6 Mg 3.54
Mg  0.6667  0.3333  0.8333  6 Ho 3.32, 6 Mg 3.54

Results
Formation enthalpy at 0 K = 91 kJ/mol of formula units
Volume = 401 Å³/cell
Symmetry = No. 166
Energy relative to the lowest polymorph listed for this composition = 233 meV/atom
Total magnetic moment = 0.0 μB/cell
Total DFT energy (no corrections) = -41.73 eV per cell


# 2
Material: LiPaAs
Method: DFT, PBE
State: relaxed

a b c (Å): 4.0993 4.0993 3.9985
angles (deg): 90.00 90.00 120.00
Last column: nearest neighbours and their distance in Å.
Fractional positions:
Li  0.0000  0.0000  0.0000  3 As 2.37
Pa  0.3333  0.6667  0.5000  6 Li 3.10, 6 As 3.10
As  0.6667  0.3333  0.0000  3 Li 2.37

Results
Formation enthalpy at 0 K = -155 kJ/mol of formula units
Volume = 58 Å³/cell
Symmetry = No. 187
Energy relative to the lowest polymorph listed for this composition = 44 meV/atom
Total magnetic moment = 0.9 μB/cell
Total DFT energy (no corrections) = -17.66 eV per cell


# 3
Material: LiNp2Pd8
Method: DFT, PBE
State: relaxed

a b c (Å): 7.4884 7.4884 7.4884
angles (deg): 148.64 114.97 73.98
Last column: nearest neighbours and their distance in Å.
Fractional positions:
Li  0.0000  0.0000  0.0000  12 Pd 2.75-2.93
Np  0.3480  0.3480  0.0000  10 Pd 2.82-2.99
Np  0.6520  0.6520  0.0000  10 Pd 2.82-2.99
Pd  0.0855  0.8394  0.2461  1 Li 2.76, 7 Pd 2.79-2.95, 3 Np 2.88-2.99
Pd  0.1772  0.6772  0.5000  8 Pd 2.82-2.84, 2 Np 2.88, 2 Li 2.93
Pd  0.2317  0.5000  0.7317  2 Li 2.75, 6 Pd 2.79-2.82, 2 Np 2.82
Pd  0.4067  0.1606  0.2461  1 Li 2.76, 7 Pd 2.79-2.95, 3 Np 2.88-2.99
Pd  0.5933  0.8394  0.7539  1 Li 2.76, 7 Pd 2.79-2.95, 3 Np 2.88-2.99
Pd  0.7683  0.5000  0.2683  2 Li 2.75, 6 Pd 2.79-2.82, 2 Np 2.82
Pd  0.8228  0.3228  0.5000  8 Pd 2.82-2.84, 2 Np 2.88, 2 Li 2.93
Pd  0.9145  0.1606  0.7539  1 Li 2.76, 7 Pd 2.79-2.95, 3 Np 2.88-2.99

Results
Formation enthalpy at 0 K = -297 kJ/mol of formula units
Volume = 195 Å³/cell
Symmetry = No. 71
Total magnetic moment = 6.5 μB/cell
Total DFT energy (no corrections) = -72.42 eV per cell


# 4
Material: Cs3LiCu2I6
Method: DFT, PBE
State: relaxed

a b c (Å): 8.4935 8.4935 9.9530
angles (deg): 90.00 90.00 120.00
Last column: nearest neighbours and their distance in Å.
Fractional positions:
Cs  0.0000  0.0000  0.0000  6 I 3.85
Cs  0.3333  0.6667  0.6512  1 Cu 3.53
Cs  0.6667  0.3333  0.3488  1 Cu 3.53
Li  0.0000  0.0000  0.5000  6 I 3.07
Cu  0.3333  0.6667  0.2964  3 I 2.53
Cu  0.6667  0.3333  0.7036  3 I 2.53
I  0.1617  0.3234  0.3044  1 Cu 2.53
I  0.1617  0.8383  0.3044  1 Cu 2.53
I  0.3234  0.1617  0.6956  1 Cu 2.53
I  0.6766  0.8383  0.3044  1 Cu 2.53
I  0.8383  0.1617  0.6956  1 Cu 2.53
I  0.8383  0.6766  0.6956  1 Cu 2.53

Results
Formation energy (no corrections) = -0.97 eV/atom
Volume = 622 Å³/cell
Symmetry = No. 164
Total magnetic moment = 0.0 μB/cell
Total DFT energy (no corrections) = -33.62 eV per cell


# 5
Material: Rb12Se5Cl3
Method: DFT, PBE
State: relaxed

a b c (Å): 17.3940 17.3940 17.3940
angles (deg): 109.47 109.47 109.47
Last column: nearest neighbours and their distance in Å.
Fractional positions:
Rb  0.0440  0.2193  0.1199  2 Se 3.18-3.34
Rb  0.0440  0.3247  0.9241  2 Se 3.18-3.34
Rb  0.0759  0.6199  0.4006  2 Se 3.18-3.34
Rb  0.0759  0.9560  0.6753  2 Se 3.18-3.34
Rb  0.0994  0.7193  0.6753  2 Se 3.18-3.34
Rb  0.0994  0.8801  0.4241  2 Se 3.18-3.34
Rb  0.1199  0.0440  0.2193  2 Se 3.18-3.34
Rb  0.1199  0.5759  0.9006  2 Se 3.18-3.34
Rb  0.1753  0.2193  0.5994  2 Se 3.18-3.34
Rb  0.1753  0.4560  0.5759  2 Se 3.18-3.34
Rb  0.2193  0.1199  0.0440  2 Se 3.18-3.34
Rb  0.2193  0.5994  0.1753  2 Se 3.18-3.34
Rb  0.2807  0.3247  0.9006  2 Se 3.18-3.34
Rb  0.2807  0.4560  0.3801  2 Se 3.18-3.34
Rb  0.3247  0.9006  0.2807  2 Se 3.18-3.34
Rb  0.3247  0.9241  0.0440  2 Se 3.18-3.34
Rb  0.3801  0.2807  0.4560  2 Se 3.18-3.34
Rb  0.3801  0.5994  0.9241  2 Se 3.18-3.34
Rb  0.4006  0.0759  0.6199  2 Se 3.18-3.34
Rb  0.4006  0.8247  0.7807  2 Se 3.18-3.34
Rb  0.4241  0.0994  0.8801  2 Se 3.18-3.34
Rb  0.4241  0.8247  0.5440  2 Se 3.18-3.34
Rb  0.4560  0.3801  0.2807  2 Se 3.18-3.34
Rb  0.4560  0.5759  0.1753  2 Se 3.18-3.34
Rb  0.5440  0.4241  0.8247  2 Se 3.18-3.34
Rb  0.5440  0.6199  0.7193  2 Se 3.18-3.34
Rb  0.5759  0.1753  0.4560  2 Se 3.18-3.34
Rb  0.5759  0.9006  0.1199  2 Se 3.18-3.34
Rb  0.5994  0.1753  0.2193  2 Se 3.18-3.34
Rb  0.5994  0.9241  0.3801  2 Se 3.18-3.34
Rb  0.6199  0.4006  0.0759  2 Se 3.18-3.34
Rb  0.6199  0.7193  0.5440  2 Se 3.18-3.34
Rb  0.6753  0.0759  0.9560  2 Se 3.18-3.34
Rb  0.6753  0.0994  0.7193  2 Se 3.18-3.34
Rb  0.7193  0.5440  0.6199  2 Se 3.18-3.34
Rb  0.7193  0.6753  0.0994  2 Se 3.18-3.34
Rb  0.7807  0.4006  0.8247  2 Se 3.18-3.34
Rb  0.7807  0.8801  0.9560  2 Se 3.18-3.34
Rb  0.8247  0.5440  0.4241  2 Se 3.18-3.34
Rb  0.8247  0.7807  0.4006  2 Se 3.18-3.34
Rb  0.8801  0.4241  0.0994  2 Se 3.18-3.34
Rb  0.8801  0.9560  0.7807  2 Se 3.18-3.34
Rb  0.9006  0.1199  0.5759  2 Se 3.18-3.34
Rb  0.9006  0.2807  0.3247  2 Se 3.18-3.34
Rb  0.9241  0.0440  0.3247  2 Se 3.18-3.34
Rb  0.9241  0.3801  0.5994  2 Se 3.18-3.34
Rb  0.9560  0.6753  0.0759  2 Se 3.18-3.34
Rb  0.9560  0.7807  0.8801  2 Se 3.18-3.34
Se  0.0000  0.0000  0.0000  6 Rb 3.34
Se  0.0000  0.0000  0.5000  6 Rb 3.34
Se  0.0000  0.5000  0.0000  6 Rb 3.34
Se  0.0000  0.5000  0.5000  6 Rb 3.34
Se  0.1250  0.7500  0.8750  4 Rb 3.18
Se  0.1250  0.8750  0.2500  4 Rb 3.18
Se  0.2500  0.1250  0.8750  4 Rb 3.18
Se  0.2500  0.6250  0.3750  4 Rb 3.18
Se  0.3750  0.2500  0.6250  4 Rb 3.18
Se  0.3750  0.6250  0.7500  4 Rb 3.18
Se  0.5000  0.0000  0.0000  6 Rb 3.34
Se  0.5000  0.0000  0.5000  6 Rb 3.34
Se  0.5000  0.5000  0.0000  6 Rb 3.34
Se  0.5000  0.5000  0.5000  6 Rb 3.34
Se  0.6250  0.3750  0.2500  4 Rb 3.18
Se  0.6250  0.7500  0.3750  4 Rb 3.18
Se  0.7500  0.3750  0.6250  4 Rb 3.18
Se  0.7500  0.8750  0.1250  4 Rb 3.18
Se  0.8750  0.1250  0.7500  4 Rb 3.18
Se  0.8750  0.2500  0.1250  4 Rb 3.18
Cl  0.1250  0.2500  0.3750  8 Rb 3.65-3.96
Cl  0.1250  0.3750  0.7500  8 Rb 3.65-3.96
Cl  0.2500  0.3750  0.1250  8 Rb 3.65-3.96
Cl  0.2500  0.8750  0.6250  8 Rb 3.65-3.96
Cl  0.3750  0.1250  0.2500  8 Rb 3.65-3.96
Cl  0.3750  0.7500  0.1250  8 Rb 3.65-3.96
Cl  0.6250  0.2500  0.8750  8 Rb 3.65-3.96
Cl  0.6250  0.8750  0.7500  8 Rb 3.65-3.96
Cl  0.7500  0.1250  0.3750  8 Rb 3.65-3.96
Cl  0.7500  0.6250  0.8750  8 Rb 3.65-3.96
Cl  0.8750  0.6250  0.2500  8 Rb 3.65-3.96
Cl  0.8750  0.7500  0.6250  8 Rb 3.65-3.96

Results
Formation energy (no corrections) = -1.11 eV/atom
Volume = 4051 Å³/cell
Symmetry = No. 230
Total magnetic moment = 5.6 μB/cell
Total DFT energy (no corrections) = -227.10 eV per cell


# 6
Material: Cr4Cu3
Method: DFT, PBE
State: relaxed

a b c (Å): 3.0033 3.0033 19.3754
angles (deg): 90.00 90.00 90.00
Last column: nearest neighbours and their distance in Å.
Fractional positions:
Cr  0.0000  0.0000  0.0778  4 Cr 2.43, 5 Cu 2.60-2.69
Cr  0.0000  0.0000  0.3610  4 Cr 2.43, 5 Cu 2.61-2.69
Cr  0.0000  0.0000  0.6390  4 Cr 2.43, 5 Cu 2.61-2.69
Cr  0.0000  0.0000  0.9222  4 Cr 2.43, 5 Cu 2.60-2.69
Cr  0.5000  0.5000  0.1390  4 Cr 2.43, 5 Cu 2.61-2.69
Cr  0.5000  0.5000  0.4222  4 Cr 2.43, 5 Cu 2.60-2.69
Cr  0.5000  0.5000  0.5778  4 Cr 2.43, 5 Cu 2.60-2.69
Cr  0.5000  0.5000  0.8610  4 Cr 2.43, 5 Cu 2.61-2.69
Cu  0.0000  0.0000  0.2169  4 Cu 2.48, 5 Cr 2.61-2.69
Cu  0.0000  0.0000  0.5000  10 Cr 2.60-2.69
Cu  0.0000  0.0000  0.7831  4 Cu 2.48, 5 Cr 2.61-2.69
Cu  0.5000  0.5000  0.0000  10 Cr 2.60-2.69
Cu  0.5000  0.5000  0.2831  4 Cu 2.48, 5 Cr 2.61-2.69
Cu  0.5000  0.5000  0.7169  4 Cu 2.48, 5 Cr 2.61-2.69

Results
Formation enthalpy at 0 K = 166 kJ/mol of formula units
Volume = 175 Å³/cell
Symmetry = No. 139
Energy relative to the lowest polymorph listed for this composition = 0 meV/atom
Total magnetic moment = 1.5 μB/cell
Total DFT energy (no corrections) = -98.12 eV per cell